(1)
The following is a meta-GGA SCAN calculation of MnAg2Au at its PBEsol-relaxed geometry, from Alexandria via LeMat-Bulk.

The value obtained for the raw total energy is -2.773 Ry per atom. The value obtained for the formation energy is -0.75 eV/f.u. For the density of states at the Fermi level, the calculation gives 2.3 states/eV/cell.

abc: 3.9378 3.9378 8.2734
angles: 90.00 90.00 90.00
Closest atoms and distances in Å follow each position.
Positions (direct):
Mn  0.0000  0.0000  0.0000  4 Au 2.78, 8 Ag 2.86
Mn  0.5000  0.5000  0.5000  4 Au 2.78, 8 Ag 2.86
Ag  0.0000  0.5000  0.2500  4 Ag 2.78, 4 Au 2.86, 4 Mn 2.86
Ag  0.0000  0.5000  0.7500  4 Ag 2.78, 4 Mn 2.86, 4 Au 2.86
Ag  0.5000  0.0000  0.2500  4 Ag 2.78, 4 Au 2.86, 4 Mn 2.86
Ag  0.5000  0.0000  0.7500  4 Ag 2.78, 4 Mn 2.86, 4 Au 2.86
Au  0.0000  0.0000  0.5000  4 Mn 2.78, 8 Ag 2.86
Au  0.5000  0.5000  0.0000  4 Mn 2.78, 8 Ag 2.86



(2)
The following is a meta-GGA SCAN calculation of Sr2ReBr at its PBEsol-relaxed geometry, from Alexandria via LeMat-Bulk.

For the energy relative to the elements, uncorrected, the calculation gives 0.18 eV per atom. The value obtained for the raw total energy is -2.470 Ry per atom. For the density of states at the Fermi level, the calculation gives 2.4 states/eV/cell.

abc: 3.3906 5.1977 6.0961
angles: 90.00 90.00 90.00
Closest atoms and distances in Å follow each position.
Positions (direct):
Sr  0.0000  0.0000  0.0000  2 Re 3.05, 4 Br 3.10, 2 Sr 3.39
Sr  0.5000  0.5000  0.5000  2 Br 3.05, 4 Re 3.10, 2 Sr 3.39
Re  0.0000  0.0000  0.5000  6 Sr 3.05-3.10, 2 Re 3.39
Br  0.5000  0.5000  0.0000  6 Sr 3.05-3.10, 2 Br 3.39



(3)
The following is a meta-GGA SCAN calculation of Na2CdSi2O6 at its PBEsol-relaxed geometry, from Alexandria via LeMat-Bulk.

For the energy relative to the elements, uncorrected, the calculation gives -2.48 eV per atom. The value obtained for the raw total energy is -0.826 Ry per atom. For the density of states at the Fermi level, the calculation gives 0.0 states/eV/cell.

abc: 10.4354 7.4786 10.5238
angles: 90.00 90.00 90.00
Closest atoms and distances in Å follow each position.
Positions (direct):
Na  0.0000  0.0079  0.0000  6 O 2.29-2.43
Na  0.0000  0.2255  0.7648  6 O 2.49-2.51
Na  0.2253  0.7838  0.0057  5 O 2.33-2.57
Na  0.2409  0.7293  0.4825  2 O 2.26-2.41
Na  0.2591  0.2707  0.9825  2 O 2.26-2.41
Na  0.2747  0.2162  0.5057  5 O 2.33-2.57
Na  0.5000  0.7745  0.2648  6 O 2.49-2.51
Na  0.5000  0.9921  0.5000  6 O 2.29-2.43
Na  0.7253  0.2162  0.5057  5 O 2.33-2.57
Na  0.7409  0.2707  0.9825  2 O 2.26-2.41
Na  0.7591  0.7293  0.4825  2 O 2.26-2.41
Na  0.7747  0.7838  0.0057  5 O 2.33-2.57
Cd  0.0000  0.2338  0.2364  2 O 2.12-2.14
Cd  0.0000  0.4832  0.4895  6 O 2.26-2.45
Cd  0.0000  0.7500  0.2403  6 O 2.28-2.35
Cd  0.5000  0.2500  0.7403  6 O 2.28-2.35
Cd  0.5000  0.5168  0.9895  6 O 2.26-2.45
Cd  0.5000  0.7662  0.7364  2 O 2.12-2.14
Si  0.0000  0.9999  0.5249  4 O 1.62-1.65
Si  0.0000  0.5002  0.9608  4 O 1.60-1.66
Si  0.2232  0.5306  0.7483  4 O 1.62-1.65
Si  0.2233  0.9685  0.7362  4 O 1.59-1.67
Si  0.2767  0.0315  0.2362  4 O 1.59-1.67
Si  0.2768  0.4694  0.2483  4 O 1.62-1.65
Si  0.5000  0.0001  0.0249  4 O 1.62-1.65
Si  0.5000  0.4998  0.4608  4 O 1.60-1.66
Si  0.7233  0.0315  0.2362  4 O 1.59-1.67
Si  0.7232  0.4694  0.2483  4 O 1.62-1.65
Si  0.7768  0.5306  0.7483  4 O 1.62-1.65
Si  0.7767  0.9685  0.7362  4 O 1.59-1.67
O  0.0000  0.1789  0.4360  1 Si 1.63
O  0.0000  0.3199  0.0449  1 Si 1.61
O  0.0000  0.6940  0.0255  1 Si 1.60
O  0.0000  0.8030  0.4608  1 Si 1.62
O  0.1246  0.4740  0.8643  2 Si 1.65-1.66
O  0.1258  0.0273  0.6180  2 Si 1.65-1.67
O  0.1350  0.5232  0.3008  1 Si 1.63
O  0.1348  0.9779  0.1866  1 Si 1.62
O  0.1718  0.0463  0.8677  1 Si 1.59
O  0.1752  0.4488  0.6142  1 Si 1.62
O  0.2196  0.7487  0.7372  2 Si 1.64
O  0.2804  0.2513  0.2372  2 Si 1.64
O  0.3248  0.5512  0.1142  1 Si 1.62
O  0.3282  0.9537  0.3677  1 Si 1.59
O  0.3652  0.0221  0.6866  1 Si 1.62
O  0.3650  0.4768  0.8008  1 Si 1.63
O  0.3742  0.9727  0.1180  2 Si 1.65-1.67
O  0.3754  0.5260  0.3643  2 Si 1.65-1.66
O  0.5000  0.1970  0.9608  1 Si 1.62
O  0.5000  0.3060  0.5255  1 Si 1.60
O  0.5000  0.6801  0.5449  1 Si 1.61
O  0.5000  0.8211  0.9360  1 Si 1.63
O  0.6246  0.5260  0.3643  2 Si 1.65-1.66
O  0.6258  0.9727  0.1180  2 Si 1.65-1.67
O  0.6348  0.0221  0.6866  1 Si 1.62
O  0.6350  0.4768  0.8008  1 Si 1.63
O  0.6718  0.9537  0.3677  1 Si 1.59
O  0.6752  0.5512  0.1142  1 Si 1.62
O  0.7196  0.2513  0.2372  2 Si 1.64
O  0.7804  0.7487  0.7372  2 Si 1.64
O  0.8248  0.4488  0.6142  1 Si 1.62
O  0.8282  0.0463  0.8677  1 Si 1.59
O  0.8650  0.5232  0.3008  1 Si 1.63
O  0.8652  0.9779  0.1866  1 Si 1.62
O  0.8742  0.0273  0.6180  2 Si 1.65-1.67
O  0.8754  0.4740  0.8643  2 Si 1.65-1.66